GGA-PBE La2CuNi3Sn4, optimized geometry; E = -52.822 eV for the cell shown; N(E_F) = 5.84 states/eV/f.u.; E_form = -0.552 eV per atom
1.0
-0.569 4.471 -0.117
-4.237 -0.577 -1.428
-3.271 -0.161 9.766
La Cu Ni Sn
2 1 3 4
direct
0.500 0.000 0.259 La
0.000 0.500 0.741 La
0.500 0.500 0.500 Cu
0.000 0.000 0.500 Ni
0.500 0.000 0.875 Ni
0.000 0.500 0.125 Ni
0.500 0.500 0.000 Sn
0.000 0.000 0.000 Sn
0.500 0.000 0.629 Sn
0.000 0.500 0.371 Sn